No. 1
Below is crystalline Ba8Al2In at its relaxed geometry, with properties calculated at the GGA-PBE level.

a = 5.8451 Å, b = 9.5572 Å, c = 17.4530 Å
α = 90.00°, β = 90.00°, γ = 90.00°
Space group Immm (No. 71)
Asymmetric unit:
Ba 0.0000 0.0000 0.1441 x4
Ba 0.0000 0.2185 0.3404 x8
Ba 0.0000 0.3152 0.0000 x4
Al 0.0000 0.5000 0.1874 x4
In 0.0000 0.5000 0.5000 x2

* density of states at the Fermi level: 0.979 states/eV per atom
* volume: 44.317 Å³/atom
* calculated formation energy: -0.07 eV per atom
* total moment: 1.3 μB/cell
* mass density: 4.32 g/cm3


No. 2
Below is crystalline Cu5Au at its relaxed geometry, with properties calculated at the GGA-PBE level.

a = 9.7572 Å, b = 2.6923 Å, c = 6.2569 Å
α = 90.00°, β = 106.65°, γ = 90.00°
Space group Cm (No. 8)
Asymmetric unit:
Cu 0.0000 0.0000 0.0000 x2
Cu 0.0445 0.0000 0.6165 x2
Cu 0.2181 0.5000 0.9359 x2
Cu 0.3403 0.0000 0.6937 x2
Cu 0.3889 0.0000 0.2635 x2
Au 0.1726 0.5000 0.3487 x2

* density of states at the Fermi level: 0.287 states/eV per atom
* volume: 13.123 Å³/atom
* calculated formation energy: 0.00 eV per atom
* total moment: 0.0 μB/cell
* mass density: 10.85 g/cm3


No. 3
Below is crystalline Li2TlCr at its relaxed geometry, with properties calculated at the GGA-PBE level.

a = 7.5135 Å, b = 7.5135 Å, c = 5.6102 Å
α = 90.00°, β = 90.00°, γ = 90.00°
Space group I-42d (No. 122)
Asymmetric unit:
Li 0.2466 0.2500 0.1250 x8
Tl 0.0000 0.0000 0.5000 x4
Cr 0.0000 0.0000 0.0000 x4

* density of states at the Fermi level: 0.403 states/eV per atom
* volume: 19.794 Å³/atom
* calculated formation energy: 0.38 eV per atom
* total moment: 16.3 μB/cell
* mass density: 5.67 g/cm3


No. 4
Below is crystalline BaSr2TiCu at its relaxed geometry, with properties calculated at the GGA-PBE level.

a = 5.9174 Å, b = 5.9174 Å, c = 6.0759 Å
α = 90.00°, β = 90.00°, γ = 90.00°
Space group P4/mmm (No. 123)
Asymmetric unit:
Ba 0.0000 0.0000 0.0000 x1
Sr 0.0000 0.5000 0.5000 x2
Ti 0.5000 0.5000 0.0000 x1
Cu 0.0000 0.0000 0.5000 x1

* density of states at the Fermi level: 0.999 states/eV per atom
* volume: 42.550 Å³/atom
* calculated formation energy: 0.54 eV per atom
* total moment: 3.1 μB/cell
* mass density: 3.31 g/cm3


No. 5
Below is crystalline CuIr2Os at its relaxed geometry, with properties calculated at the GGA-PBE level.

a = 6.1020 Å, b = 6.1020 Å, c = 6.1020 Å
α = 90.00°, β = 90.00°, γ = 90.00°
Space group F-43m (No. 216)
Asymmetric unit:
Cu 0.0000 0.0000 0.0000 x4
Ir 0.0000 0.0000 0.5000 x4
Ir 0.2500 0.2500 0.7500 x4
Os 0.2500 0.2500 0.2500 x4

* density of states at the Fermi level: 1.683 states/eV per atom
* volume: 14.201 Å³/atom
* calculated formation energy: 0.48 eV per atom
* total moment: 0.2 μB/cell
* mass density: 18.66 g/cm3


No. 6
Below is crystalline Mg3Ga3Au2 at its relaxed geometry, with properties calculated at the GGA-PBE level.

a = 6.6734 Å, b = 17.1920 Å, c = 5.3557 Å
α = 90.00°, β = 90.00°, γ = 90.00°
Space group Pnma (No. 62)
Asymmetric unit:
Mg 0.0060 0.1145 0.1077 x8
Mg 0.1676 0.2500 0.6656 x4
Ga 0.1807 0.7500 0.6793 x4
Ga 0.1877 0.0198 0.6133 x8
Au 0.1173 0.6259 0.3966 x8

* density of states at the Fermi level: 0.298 states/eV per atom
* volume: 19.202 Å³/atom
* calculated formation energy: -0.33 eV per atom
* total moment: 0.0 μB/cell
* mass density: 7.31 g/cm3